No. 1
Compound: Zr2Ti5Co4
Source: Alexandria via LeMat-Bulk
Functional: PBE
Structure: optimized geometry

a b c (Å): 6.240 6.240 7.982
angles (deg): 129.11 129.11 50.76
Positions (direct):
Zr (0.195, 0.195, 0.199)
Zr (0.805, 0.805, 0.801)
Ti (0.248, 0.748, 0.315)
Ti (0.252, 0.752, 0.685)
Ti (0.500, 0.500, 0.000)
Ti (0.748, 0.248, 0.315)
Ti (0.752, 0.252, 0.685)
Co (0.248, 0.248, 0.591)
Co (0.267, 0.267, 0.951)
Co (0.733, 0.733, 0.049)
Co (0.752, 0.752, 0.409)

## Properties
- Formation enthalpy at 0 K: -162 meV/atom

=====

No. 2
Compound: BaSr2UO5
Source: Alexandria via LeMat-Bulk
Functional: PBE
Structure: optimized geometry

a b c (Å): 7.209 7.209 7.209
angles (deg): 144.83 128.34 64.04
Positions (direct):
Ba (0.000, 0.000, 0.000)
Sr (0.277, 0.777, 0.500)
Sr (0.723, 0.223, 0.500)
U (0.500, 0.500, 0.000)
O (0.135, 0.371, 0.764)
O (0.393, 0.629, 0.764)
O (0.500, 0.000, 0.500)
O (0.607, 0.371, 0.236)
O (0.865, 0.629, 0.236)

## Properties
- Formation energy without anion corrections: -2.84 eV per atom